# 1
First-principles (PBE) data for crystalline AcMnAu2 at its relaxed geometry, as listed in Alexandria via LeMat-Bulk.

extended XYZ file:
```
4
Lattice="-0.700 3.490 0.256 -0.755 0.105 -3.486 -6.879 -1.485 1.445" Properties=species:S:1:pos:R:3 pbc="T T T"
Ac -4.166 1.055 -0.892
Au -1.370 -0.296 0.288
Au -5.508 -1.189 1.157
Mn -0.727 1.797 -1.615
```

Results
energy	-5.262	eV/atom
total magnetic moment	4.25	μB per formula unit
N(E_F)	2.4	states/eV/cell
formation enthalpy at 0 K	-304	meV per atom
mass density	12.3	Mg/m³


# 2
First-principles (PBE) data for crystalline AcMnAu2 at its relaxed geometry, as listed in Alexandria via LeMat-Bulk.

extended XYZ file:
```
4
Lattice="-1.661 1.457 -4.106 -4.548 0.907 -0.486 -1.237 5.715 -0.118" Properties=species:S:1:pos:R:3 pbc="T T T"
Au -5.685 5.467 -3.702
Au -1.761 2.612 -1.008
Mn -3.723 4.040 -2.355
Ac 0.000 0.000 0.000
```

Results
energy	-5.407	eV/atom
total magnetic moment	4.07	μB per formula unit
N(E_F)	2.5	states/eV/cell
formation enthalpy at 0 K	-449	meV per atom
mass density	11.5	Mg/m³